First-principles (GGA-PBE) data for crystalline Na3TbTl4 at its relaxed geometry, as listed in Alexandria.

Computed properties:
Calculated volume in Å³ per atom: 27.5
Space-group type: C2/m, No. 12
Mass density in Mg/m³: 7.90
E_form in meV per atom: -164
Total moment in Bohr magnetons per cell: 0.00

Lattice parameters (Å, degrees): 5.4155 5.4156 8.4147 108.84 108.77 90.00
Last column: nearest neighbours and their distance in Å.
Fractional positions:
Na 0.0000 0.5000 0.0000  8 Tl 3.27
Na 0.7486 0.2486 0.4971  8 Tl 3.30-3.33
Na 0.2514 0.7514 0.5029  8 Tl 3.30-3.33
Tl 0.3777 0.3780 0.7554  2 Tb 3.27, 6 Na 3.27-3.33
Tl 0.6223 0.6220 0.2446  2 Tb 3.27, 6 Na 3.27-3.33
Tl 0.1223 0.1218 0.2446  6 Na 3.27-3.33, 2 Tb 3.27
Tl 0.8777 0.8782 0.7554  6 Na 3.27-3.33, 2 Tb 3.27
Tb 0.5000 0.0000 0.0000  8 Tl 3.27

---

First-principles (GGA-PBE) data for crystalline Na2TbTl at its relaxed geometry, as listed in Alexandria.

Computed properties:
Calculated volume in Å³ per atom: 31.8
Space-group type: R-3m, No. 166
Mass density in Mg/m³: 5.34
E_form in meV per atom: 152
Total moment in Bohr magnetons per cell: 0.00

Lattice parameters (Å, degrees): 3.4331 3.4331 12.6221 82.18 82.18 60.00
Last column: nearest neighbours and their distance in Å.
Fractional positions:
Na 0.0911 0.0911 0.7267  1 Tb 3.41, 6 Na 3.43, 3 Tl 3.45
Na 0.9089 0.9089 0.2733  1 Tb 3.41, 6 Na 3.43, 3 Tl 3.45
Tl 0.5000 0.5000 0.5000  6 Tl 3.43, 6 Na 3.45
Tb 0.0000 0.0000 0.0000  2 Na 3.41, 6 Tb 3.43

---

First-principles (GGA-PBE) data for crystalline NaTb2Tl at its relaxed geometry, as listed in Alexandria.

Computed properties:
Calculated volume in Å³ per atom: 28.2
Space-group type: Fm-3m, No. 225
Mass density in Mg/m³: 8.03
E_form in meV per atom: -58
Total moment in Bohr magnetons per cell: 0.00

Lattice parameters (Å, degrees): 5.4219 5.4219 5.4219 60.00 60.00 60.00
Last column: nearest neighbours and their distance in Å.
Fractional positions:
Na 0.5000 0.5000 0.5000  8 Tb 3.32
Tl 0.0000 0.0000 0.0000  8 Tb 3.32
Tb 0.2500 0.2500 0.2500  4 Tl 3.32, 4 Na 3.32
Tb 0.7500 0.7500 0.7500  4 Na 3.32, 4 Tl 3.32

---

First-principles (GGA-PBE) data for crystalline Na2TbTl9 at its relaxed geometry, as listed in Alexandria.

Computed properties:
Calculated volume in Å³ per atom: 28.3
Space-group type: P4/mmm, No. 123
Mass density in Mg/m³: 9.99
E_form in meV per atom: -107
Total moment in Bohr magnetons per cell: 0.00

Lattice parameters (Å, degrees): 4.8112 4.8112 14.6821 90.00 90.00 90.00
Last column: nearest neighbours and their distance in Å.
Fractional positions:
Na 0.0000 0.0000 0.3262  12 Tl 3.39-3.51
Na 0.0000 0.0000 0.6738  12 Tl 3.39-3.51
Tb 0.0000 0.0000 0.0000  12 Tl 3.40
Tl 0.5000 0.5000 0.0000  8 Tl 3.40, 4 Tb 3.40
Tl 0.5000 0.5000 0.3291  4 Na 3.40, 8 Tl 3.42-3.48
Tl 0.5000 0.5000 0.6709  4 Na 3.40, 8 Tl 3.42-3.48
Tl 0.5000 0.0000 0.1635  2 Na 3.39, 2 Tb 3.40, 8 Tl 3.40-3.42
Tl 0.5000 0.0000 0.5000  8 Tl 3.40-3.48, 4 Na 3.51
Tl 0.5000 0.0000 0.8365  2 Na 3.39, 2 Tb 3.40, 8 Tl 3.40-3.42
Tl 0.0000 0.5000 0.1635  2 Na 3.39, 2 Tb 3.40, 8 Tl 3.40-3.42
Tl 0.0000 0.5000 0.5000  8 Tl 3.40-3.48, 4 Na 3.51
Tl 0.0000 0.5000 0.8365  2 Na 3.39, 2 Tb 3.40, 8 Tl 3.40-3.42

---

First-principles (GGA-PBE) data for crystalline NaTb2Tl at its relaxed geometry, as listed in Alexandria.

Computed properties:
Calculated volume in Å³ per atom: 32.8
Space-group type: R-3m, No. 166
Mass density in Mg/m³: 6.90
E_form in meV per atom: 90
Total moment in Bohr magnetons per cell: 0.00

Lattice parameters (Å, degrees): 3.5258 3.5258 12.3533 81.80 81.80 60.00
Last column: nearest neighbours and their distance in Å.
Fractional positions:
Na 0.0000 0.0000 0.0000  2 Tb 3.52, 6 Na 3.53
Tl 0.5000 0.5000 0.5000  6 Tb 3.28, 6 Tl 3.53
Tb 0.0964 0.0964 0.7109  3 Tl 3.28, 1 Na 3.52, 6 Tb 3.53
Tb 0.9036 0.9036 0.2891  3 Tl 3.28, 1 Na 3.52, 6 Tb 3.53

---

First-principles (GGA-PBE) data for crystalline NaTb2Tl at its relaxed geometry, as listed in Alexandria.

Computed properties:
Calculated volume in Å³ per atom: 30.7
Space-group type: P4/mmm, No. 123
Mass density in Mg/m³: 7.37
E_form in meV per atom: 2
Total moment in Bohr magnetons per cell: 0.00

Lattice parameters (Å, degrees): 3.6656 3.6656 9.1437 90.00 90.00 90.00
Last column: nearest neighbours and their distance in Å.
Fractional positions:
Na 0.5000 0.5000 0.0000  4 Na 3.67, 8 Tb 3.67
Tl 0.5000 0.5000 0.5000  8 Tb 3.26
Tb 0.0000 0.0000 0.7161  4 Tl 3.26
Tb 0.0000 0.0000 0.2839  4 Tl 3.26

---

First-principles (GGA-PBE) data for crystalline NaTb2Tl at its relaxed geometry, as listed in Alexandria.

Computed properties:
Calculated volume in Å³ per atom: 28.3
Space-group type: P4/mmm, No. 123
Mass density in Mg/m³: 7.99
E_form in meV per atom: -46
Total moment in Bohr magnetons per cell: 0.00

Lattice parameters (Å, degrees): 4.3445 5.1056 5.1056 90.00 90.00 90.00
Last column: nearest neighbours and their distance in Å.
Fractional positions:
Na 0.5000 0.0000 0.0000  8 Tb 3.35, 4 Tl 3.61
Tl 0.5000 0.5000 0.5000  8 Tb 3.35, 4 Na 3.61
Tb 0.0000 0.0000 0.5000  4 Tl 3.35, 4 Na 3.35, 4 Tb 3.61
Tb 0.0000 0.5000 0.0000  4 Tl 3.35, 4 Na 3.35, 4 Tb 3.61

---

First-principles (GGA-PBE) data for crystalline NaTbTl at its relaxed geometry, as listed in Alexandria.

Computed properties:
Calculated volume in Å³ per atom: 28.1
Space-group type: P6_3/mmc, No. 194
Mass density in Mg/m³: 7.62
E_form in meV per atom: -152
Total moment in Bohr magnetons per cell: 0.00

Lattice parameters (Å, degrees): 5.5156 5.5156 6.3892 90.00 90.00 120.01
Last column: nearest neighbours and their distance in Å.
Fractional positions:
Na 0.0000 0.5000 0.0000  2 Na 3.19, 6 Tl 3.56, 6 Tb 3.56
Na 0.0000 0.5000 0.5000  2 Na 3.19, 6 Tl 3.56, 6 Tb 3.56
Tb 0.3332 0.1668 0.7500  5 Tl 3.18-3.19, 6 Na 3.56
Tb 0.6668 0.8332 0.2500  5 Tl 3.18-3.19, 6 Na 3.56
Tl 0.6665 0.8335 0.7500  5 Tb 3.18-3.19, 6 Na 3.56
Tl 0.3335 0.1665 0.2500  5 Tb 3.18-3.19, 6 Na 3.56

---

First-principles (GGA-PBE) data for crystalline NaTb4Tl4 at its relaxed geometry, as listed in Alexandria.

Computed properties:
Calculated volume in Å³ per atom: 29.4
Space-group type: P4_2/n, No. 86
Mass density in Mg/m³: 9.25
E_form in meV per atom: -78
Total moment in Bohr magnetons per cell: 0.00

Lattice parameters (Å, degrees): 6.4656 9.0535 9.0535 90.00 90.00 90.00
Last column: nearest neighbours and their distance in Å.
Fractional positions:
Na 0.0000 0.0000 0.0000  4 Tl 2.83
Na 0.5000 0.5000 0.5000  4 Tl 2.83
Tb 0.3879 0.2563 0.9126  5 Tl 3.08-3.35, 1 Tb 3.44
Tb 0.8879 0.5874 0.7563  5 Tl 3.08-3.35, 1 Tb 3.44
Tb 0.3879 0.7437 0.0874  5 Tl 3.08-3.35, 1 Tb 3.44
Tb 0.1121 0.2437 0.5874  5 Tl 3.08-3.35, 1 Tb 3.44
Tb 0.6121 0.9126 0.7437  5 Tl 3.08-3.35, 1 Tb 3.44
Tb 0.1121 0.7563 0.4126  5 Tl 3.08-3.35, 1 Tb 3.44
Tb 0.8879 0.4126 0.2437  5 Tl 3.08-3.35, 1 Tb 3.44
Tb 0.6121 0.0874 0.2563  5 Tl 3.08-3.35, 1 Tb 3.44
Tl 0.6290 0.7862 0.4128  1 Na 2.83, 2 Tb 3.08-3.14
Tl 0.6290 0.2138 0.5872  1 Na 2.83, 2 Tb 3.08-3.14
Tl 0.1290 0.9128 0.7138  1 Na 2.83, 2 Tb 3.08-3.14
Tl 0.8710 0.2862 0.9128  1 Na 2.83, 2 Tb 3.08-3.14
Tl 0.8710 0.7138 0.0872  1 Na 2.83, 2 Tb 3.08-3.14
Tl 0.3710 0.4128 0.2138  1 Na 2.83, 2 Tb 3.08-3.14
Tl 0.3710 0.5872 0.7862  1 Na 2.83, 2 Tb 3.08-3.14
Tl 0.1290 0.0872 0.2862  1 Na 2.83, 2 Tb 3.08-3.14

---

First-principles (GGA-PBE) data for crystalline NaTb2Tl6 at its relaxed geometry, as listed in Alexandria.

Computed properties:
Calculated volume in Å³ per atom: 28.8
Space-group type: C2/m, No. 12
Mass density in Mg/m³: 10.04
E_form in meV per atom: -93
Total moment in Bohr magnetons per cell: 0.00

Lattice parameters (Å, degrees): 3.5451 8.7489 10.0380 115.84 110.01 90.00
Last column: nearest neighbours and their distance in Å.
Fractional positions:
Na 0.0000 0.0000 0.0000  8 Tl 3.13-3.32
Tb 0.8848 0.6915 0.3830  10 Tl 3.32-3.56, 2 Tb 3.55
Tb 0.1152 0.3085 0.6170  10 Tl 3.32-3.56, 2 Tb 3.55
Tl 0.3225 0.3446 0.3212  1 Na 3.13, 4 Tl 3.20-3.45, 4 Tb 3.32-3.45
Tl 0.6775 0.0234 0.6788  1 Na 3.13, 4 Tl 3.20-3.45, 4 Tb 3.32-3.45
Tl 0.6775 0.6554 0.6788  1 Na 3.13, 4 Tl 3.20-3.45, 4 Tb 3.32-3.45
Tl 0.5000 0.3208 0.0000  5 Tl 3.14-3.45, 2 Na 3.32
Tl 0.3225 0.9766 0.3212  1 Na 3.13, 4 Tl 3.20-3.45, 4 Tb 3.32-3.45
Tl 0.5000 0.6792 0.0000  5 Tl 3.14-3.45, 2 Na 3.32

---

First-principles (GGA-PBE) data for crystalline NaTb2Tl9 at its relaxed geometry, as listed in Alexandria.

Computed properties:
Calculated volume in Å³ per atom: 27.7
Space-group type: P4/mmm, No. 123
Mass density in Mg/m³: 10.91
E_form in meV per atom: -167
Total moment in Bohr magnetons per cell: 0.00

Lattice parameters (Å, degrees): 4.7953 4.7953 14.4334 90.00 90.00 90.00
Last column: nearest neighbours and their distance in Å.
Fractional positions:
Na 0.0000 0.0000 0.0000  12 Tl 3.39-3.42
Tb 0.0000 0.0000 0.3394  12 Tl 3.34-3.43
Tb 0.0000 0.0000 0.6606  12 Tl 3.34-3.43
Tl 0.5000 0.5000 0.0000  4 Na 3.39, 8 Tl 3.42
Tl 0.5000 0.5000 0.3336  8 Tl 3.37-3.39, 4 Tb 3.39
Tl 0.5000 0.5000 0.6664  8 Tl 3.37-3.39, 4 Tb 3.39
Tl 0.5000 0.0000 0.1692  8 Tl 3.37-3.42, 2 Na 3.42, 2 Tb 3.43
Tl 0.5000 0.0000 0.5000  4 Tb 3.34, 8 Tl 3.39
Tl 0.5000 0.0000 0.8308  8 Tl 3.37-3.42, 2 Na 3.42, 2 Tb 3.43
Tl 0.0000 0.5000 0.1692  8 Tl 3.37-3.42, 2 Na 3.42, 2 Tb 3.43
Tl 0.0000 0.5000 0.5000  4 Tb 3.34, 8 Tl 3.39
Tl 0.0000 0.5000 0.8308  8 Tl 3.37-3.42, 2 Na 3.42, 2 Tb 3.43

---

First-principles (GGA-PBE) data for crystalline NaTb4Tl7 at its relaxed geometry, as listed in Alexandria.

Computed properties:
Calculated volume in Å³ per atom: 30.2
Space-group type: C2/m, No. 12
Mass density in Mg/m³: 9.58
E_form in meV per atom: -124
Total moment in Bohr magnetons per cell: 0.00

Lattice parameters (Å, degrees): 5.4726 9.8857 7.4983 81.09 68.60 73.93
Last column: nearest neighbours and their distance in Å.
Fractional positions:
Na 0.0000 0.0000 0.0000  2 Tl 2.74
Tb 0.5822 0.2173 0.6182  8 Tl 3.13-3.31
Tb 0.4178 0.7827 0.3818  8 Tl 3.13-3.31
Tb 0.7168 0.6676 0.8987  8 Tl 3.14-3.35
Tb 0.2832 0.3324 0.1013  8 Tl 3.14-3.35
Tl 0.7767 0.8945 0.5521  4 Tb 3.13-3.19, 4 Tl 3.34-3.49
Tl 0.2233 0.1055 0.4479  4 Tb 3.13-3.19, 4 Tl 3.34-3.49
Tl 0.0785 0.6788 0.1642  1 Na 3.19, 5 Tb 3.31-3.35, 4 Tl 3.43-3.55
Tl 0.9215 0.3212 0.8358  1 Na 3.19, 5 Tb 3.31-3.35, 4 Tl 3.43-3.55
Tl 0.3675 0.5473 0.7176  5 Tb 3.14-3.27, 2 Tl 3.22-3.43
Tl 0.5000 0.0000 0.0000  2 Na 2.74
Tl 0.6325 0.4527 0.2824  5 Tb 3.14-3.27, 2 Tl 3.22-3.43